An optimized crystal structure of CsKReI6. Source: Alexandria, functional PBE-GGA.

```
CsKReI6
1.0
8.642 0.000 0.000
-4.321 7.484 0.000
0.000 0.000 14.566
Cs K Re I
2 2 2 12
direct
0.000 0.000 0.000
0.000 0.000 0.500
0.333 0.667 0.250
0.667 0.333 0.750
0.333 0.667 0.750
0.667 0.333 0.250
0.070 0.413 0.640
0.070 0.657 0.860
0.343 0.413 0.860
0.343 0.930 0.640
0.413 0.070 0.140
0.413 0.343 0.360
0.587 0.657 0.640
0.587 0.930 0.860
0.657 0.070 0.360
0.657 0.587 0.140
0.930 0.343 0.140
0.930 0.587 0.360
```

total DFT energy (no corrections)	-3.247	eV/atom
E_form (uncorrected)	-0.61	eV/atom
SG	No. 163
total magnetization	2.94	μB/f.u.